No. 1
SrCuP2Cl: optimized geometry, PBE.

a b c (Å): 6.0145 6.0145 5.4270
angles (deg): 90.00 90.00 90.00
Closest atoms and distances in Å follow each position.
Atoms (fractional coordinates):
Sr 0.0000 0.0000 0.0000  2 Cl 2.71, 4 P 3.01
Cu 0.5000 0.5000 0.5000  8 P 4.05, 4 Cl 4.25
P 0.0000 0.5000 0.0000  2 Sr 3.01
P 0.5000 0.0000 0.0000  2 Sr 3.01
Cl 0.0000 0.0000 0.5000  2 Sr 2.71

Output
- formation energy from raw total energies (meV per atom) = 825
- density of states at the Fermi level (states/eV/cell) = 2.268

---

No. 2
TaCuPCl2: optimized geometry, PBE.

a b c (Å): 4.7555 4.7555 4.9811
angles (deg): 90.00 90.00 90.00
Closest atoms and distances in Å follow each position.
Atoms (fractional coordinates):
Ta 0.0000 0.0000 0.0000  4 Cl 2.38, 2 P 2.49
Cu 0.5000 0.5000 0.5000  4 P 3.36, 8 Cl 3.44
P 0.0000 0.0000 0.5000  2 Ta 2.49
Cl 0.0000 0.5000 0.0000  2 Ta 2.38
Cl 0.5000 0.0000 0.0000  2 Ta 2.38

Output
- formation energy from raw total energies (meV per atom) = 118
- density of states at the Fermi level (states/eV/cell) = 1.315

---

No. 3
TaCuPCl2: optimized geometry, PBE.

a b c (Å): 4.3533 4.3533 5.1245
angles (deg): 90.00 90.00 90.00
Closest atoms and distances in Å follow each position.
Atoms (fractional coordinates):
Ta 0.0000 0.0000 0.0000  4 P 3.08, 8 Cl 3.36
Cu 0.5000 0.5000 0.5000  4 Cl 2.18
P 0.5000 0.5000 0.0000  2 Cu 2.56
Cl 0.0000 0.5000 0.5000  2 Cu 2.18
Cl 0.5000 0.0000 0.5000  2 Cu 2.18

Output
- formation energy from raw total energies (meV per atom) = 771
- density of states at the Fermi level (states/eV/cell) = 4.679

---

No. 4
Ta2CuPCl: optimized geometry, PBE.

a b c (Å): 4.7627 4.7627 4.1271
angles (deg): 90.00 90.00 90.00
Closest atoms and distances in Å follow each position.
Atoms (fractional coordinates):
Ta 0.0000 0.5000 0.0000  2 P 2.38
Ta 0.5000 0.0000 0.0000  2 P 2.38
Cu 0.0000 0.0000 0.5000  2 P 2.06
P 0.0000 0.0000 0.0000  2 Cu 2.06
Cl 0.5000 0.5000 0.5000  8 Ta 3.15, 4 Cu 3.37

Output
- formation energy from raw total energies (meV per atom) = 690
- density of states at the Fermi level (states/eV/cell) = 4.515

---

No. 5
CuTcPCl2: optimized geometry, PBE.

a b c (Å): 4.4548 4.4548 5.1638
angles (deg): 90.00 90.00 90.00
Closest atoms and distances in Å follow each position.
Atoms (fractional coordinates):
Cu 0.0000 0.0000 0.0000  4 Cl 2.23
Tc 0.5000 0.5000 0.5000  4 P 3.15, 8 Cl 3.41
P 0.0000 0.0000 0.5000  2 Cu 2.58
Cl 0.0000 0.5000 0.0000  2 Cu 2.23
Cl 0.5000 0.0000 0.0000  2 Cu 2.23

Output
- formation energy from raw total energies (meV per atom) = 776
- density of states at the Fermi level (states/eV/cell) = 2.972

---

No. 6
CuTcPCl2: optimized geometry, PBE.

a b c (Å): 4.9202 4.9202 4.5539
angles (deg): 90.00 90.00 90.00
Closest atoms and distances in Å follow each position.
Atoms (fractional coordinates):
Cu 0.0000 0.0000 0.0000  8 Cl 3.35, 4 P 3.48
Tc 0.5000 0.5000 0.5000  2 P 2.28, 4 Cl 2.46
P 0.5000 0.5000 0.0000  2 Tc 2.28
Cl 0.0000 0.5000 0.5000  2 Tc 2.46
Cl 0.5000 0.0000 0.5000  2 Tc 2.46

Output
- formation energy from raw total energies (meV per atom) = 473
- density of states at the Fermi level (states/eV/cell) = 3.931

---

No. 7
CuTcP2Cl: optimized geometry, PBE.

a b c (Å): 4.4774 4.4774 4.7091
angles (deg): 90.00 90.00 90.00
Closest atoms and distances in Å follow each position.
Atoms (fractional coordinates):
Cu 0.0000 0.0000 0.0000  4 P 2.24, 2 Cl 2.35
Tc 0.5000 0.5000 0.5000  4 Cl 3.17, 8 P 3.25
P 0.0000 0.5000 0.0000  2 Cu 2.24
P 0.5000 0.0000 0.0000  2 Cu 2.24
Cl 0.0000 0.0000 0.5000  2 Cu 2.35

Output
- formation energy from raw total energies (meV per atom) = 1055
- density of states at the Fermi level (states/eV/cell) = 2.875

---

No. 8
CuTcP2Cl: optimized geometry, PBE.

a b c (Å): 4.5125 4.5125 5.1505
angles (deg): 90.00 90.00 90.00
Closest atoms and distances in Å follow each position.
Atoms (fractional coordinates):
Cu 0.0000 0.0000 0.0000  4 Cl 3.19, 8 P 3.42
Tc 0.5000 0.5000 0.5000  4 P 2.26
P 0.0000 0.5000 0.5000  2 Tc 2.26
P 0.5000 0.0000 0.5000  2 Tc 2.26
Cl 0.5000 0.5000 0.0000  2 Tc 2.58

Output
- formation energy from raw total energies (meV per atom) = 575
- density of states at the Fermi level (states/eV/cell) = 3.973